(1)
# Ba2FeRe2N6 PBE-GGA relaxed
data_Ba2FeRe2N6
_chemical_formula_sum 'Ba6 Fe3 Re6 N18'
_cell_length_a 5.8762
_cell_length_b 5.8762
_cell_length_c 17.2542
_cell_angle_alpha 90.00
_cell_angle_beta 90.00
_cell_angle_gamma 120.00
_symmetry_space_group_name_H-M 'R -3 m'
_symmetry_Int_Tables_number 166
_symmetry_space_group_name_Hall '-R 3 2"'
loop_
_atom_site_label
_atom_site_type_symbol
_atom_site_fract_x
_atom_site_fract_y
_atom_site_fract_z
Ba1 Ba 0.0000 0.0000 0.2290
Fe1 Fe 0.0000 0.0000 0.0000
Re1 Re 0.0000 0.0000 0.4235
N1 N 0.0117 0.5059 0.7307
# E_form (uncorrected): -0.351 eV per atom

***

(2)
# BaFe2RhN PBE-GGA relaxed
data_BaFe2RhN
_chemical_formula_sum 'Ba1 Fe2 Rh1 N1'
_cell_length_a 4.999
_cell_length_b 4.999
_cell_length_c 3.847
_cell_angle_alpha 90.00
_cell_angle_beta 90.00
_cell_angle_gamma 90.00
_symmetry_space_group_name_H-M 'P 4/m m m'
_symmetry_Int_Tables_number 123
_symmetry_space_group_name_Hall '-P 4 2'
loop_
_atom_site_label
_atom_site_type_symbol
_atom_site_fract_x
_atom_site_fract_y
_atom_site_fract_z
Ba1 Ba 0.000 0.000 0.000
Fe1 Fe 0.000 0.500 0.500
Rh1 Rh 0.500 0.500 0.500
N1 N 0.500 0.500 0.000
# E_form (uncorrected): 0.799 eV per atom

***

(3)
# BaFeS2N PBE-GGA relaxed
data_BaFeS2N
_chemical_formula_sum 'Ba1 Fe1 S2 N1'
_cell_length_a 5.807
_cell_length_b 5.807
_cell_length_c 5.083
_cell_angle_alpha 90.00
_cell_angle_beta 90.00
_cell_angle_gamma 90.00
_symmetry_space_group_name_H-M 'P 4/m m m'
_symmetry_Int_Tables_number 123
_symmetry_space_group_name_Hall '-P 4 2'
loop_
_atom_site_label
_atom_site_type_symbol
_atom_site_fract_x
_atom_site_fract_y
_atom_site_fract_z
Ba1 Ba 0.000 0.000 0.000
Fe1 Fe 0.500 0.500 0.500
S1 S 0.000 0.500 0.000
N1 N 0.000 0.000 0.500
# energy above the lowest structure with this stoichiometry: 1.927 eV per atom
# E_form (uncorrected): 1.463 eV per atom

***

(4)
# BaFeS2N PBE-GGA relaxed
data_BaFeS2N
_chemical_formula_sum 'Ba1 Fe1 S2 N1'
_cell_length_a 5.029
_cell_length_b 5.029
_cell_length_c 3.644
_cell_angle_alpha 90.00
_cell_angle_beta 90.00
_cell_angle_gamma 90.00
_symmetry_space_group_name_H-M 'P 4/m m m'
_symmetry_Int_Tables_number 123
_symmetry_space_group_name_Hall '-P 4 2'
loop_
_atom_site_label
_atom_site_type_symbol
_atom_site_fract_x
_atom_site_fract_y
_atom_site_fract_z
Ba1 Ba 0.000 0.000 0.000
Fe1 Fe 0.500 0.500 0.500
S1 S 0.000 0.500 0.500
N1 N 0.500 0.500 0.000
# energy above the lowest structure with this stoichiometry: 0.000 eV per atom
# E_form (uncorrected): -0.464 eV per atom

***

(5)
# BaFe2SnN PBE-GGA relaxed
data_BaFe2SnN
_chemical_formula_sum 'Ba1 Fe2 Sn1 N1'
_cell_length_a 5.434
_cell_length_b 5.434
_cell_length_c 4.384
_cell_angle_alpha 90.00
_cell_angle_beta 90.00
_cell_angle_gamma 90.00
_symmetry_space_group_name_H-M 'P 4/m m m'
_symmetry_Int_Tables_number 123
_symmetry_space_group_name_Hall '-P 4 2'
loop_
_atom_site_label
_atom_site_type_symbol
_atom_site_fract_x
_atom_site_fract_y
_atom_site_fract_z
Ba1 Ba 0.000 0.000 0.000
Fe1 Fe 0.000 0.500 0.000
Sn1 Sn 0.500 0.500 0.500
N1 N 0.000 0.000 0.500
# E_form (uncorrected): 2.004 eV per atom

***

(6)
# BaSrFeN2 PBE-GGA relaxed
data_BaSrFeN2
_chemical_formula_sum 'Ba4 Sr4 Fe4 N8'
_cell_length_a 8.207
_cell_length_b 12.663
_cell_length_c 4.492
_cell_angle_alpha 90.00
_cell_angle_beta 90.00
_cell_angle_gamma 90.00
_symmetry_space_group_name_H-M 'C m m e'
_symmetry_Int_Tables_number 67
_symmetry_space_group_name_Hall '-C 2a 2'
loop_
_atom_site_label
_atom_site_type_symbol
_atom_site_fract_x
_atom_site_fract_y
_atom_site_fract_z
Ba1 Ba 0.000 0.250 0.214
Sr1 Sr 0.250 0.000 0.500
Fe1 Fe 0.000 0.000 0.000
N1 N 0.000 0.103 0.757
# E_form (uncorrected): -0.209 eV per atom

***

(7)
# BaFeTe2N PBE-GGA relaxed
data_BaFeTe2N
_chemical_formula_sum 'Ba1 Fe1 Te2 N1'
_cell_length_a 6.465
_cell_length_b 6.465
_cell_length_c 4.676
_cell_angle_alpha 90.00
_cell_angle_beta 90.00
_cell_angle_gamma 90.00
_symmetry_space_group_name_H-M 'P 4/m m m'
_symmetry_Int_Tables_number 123
_symmetry_space_group_name_Hall '-P 4 2'
loop_
_atom_site_label
_atom_site_type_symbol
_atom_site_fract_x
_atom_site_fract_y
_atom_site_fract_z
Ba1 Ba 0.000 0.000 0.000
Fe1 Fe 0.500 0.500 0.500
Te1 Te 0.000 0.500 0.000
N1 N 0.000 0.000 0.500
# energy above the lowest structure with this stoichiometry: 1.710 eV per atom
# E_form (uncorrected): 1.454 eV per atom

***

(8)
# Ba2FeTeN PBE-GGA relaxed
data_Ba2FeTeN
_chemical_formula_sum 'Ba2 Fe1 Te1 N1'
_cell_length_a 5.942
_cell_length_b 5.942
_cell_length_c 3.870
_cell_angle_alpha 90.00
_cell_angle_beta 90.00
_cell_angle_gamma 90.00
_symmetry_space_group_name_H-M 'P 4/m m m'
_symmetry_Int_Tables_number 123
_symmetry_space_group_name_Hall '-P 4 2'
loop_
_atom_site_label
_atom_site_type_symbol
_atom_site_fract_x
_atom_site_fract_y
_atom_site_fract_z
Ba1 Ba 0.000 0.500 0.000
Fe1 Fe 0.000 0.000 0.500
Te1 Te 0.500 0.500 0.500
N1 N 0.000 0.000 0.000
# E_form (uncorrected): -0.710 eV per atom

***

(9)
# BaFeTe2N PBE-GGA relaxed
data_BaFeTe2N
_chemical_formula_sum 'Ba1 Fe1 Te2 N1'
_cell_length_a 5.803
_cell_length_b 5.803
_cell_length_c 3.552
_cell_angle_alpha 90.00
_cell_angle_beta 90.00
_cell_angle_gamma 90.00
_symmetry_space_group_name_H-M 'P 4/m m m'
_symmetry_Int_Tables_number 123
_symmetry_space_group_name_Hall '-P 4 2'
loop_
_atom_site_label
_atom_site_type_symbol
_atom_site_fract_x
_atom_site_fract_y
_atom_site_fract_z
Ba1 Ba 0.000 0.000 0.000
Fe1 Fe 0.500 0.500 0.500
Te1 Te 0.000 0.500 0.500
N1 N 0.500 0.500 0.000
# energy above the lowest structure with this stoichiometry: 0.000 eV per atom
# E_form (uncorrected): -0.256 eV per atom

***

(10)
# BaTl2FeN PBE-GGA relaxed
data_BaTl2FeN
_chemical_formula_sum 'Ba1 Tl2 Fe1 N1'
_cell_length_a 6.651
_cell_length_b 6.651
_cell_length_c 4.429
_cell_angle_alpha 90.00
_cell_angle_beta 90.00
_cell_angle_gamma 90.00
_symmetry_space_group_name_H-M 'P 4/m m m'
_symmetry_Int_Tables_number 123
_symmetry_space_group_name_Hall '-P 4 2'
loop_
_atom_site_label
_atom_site_type_symbol
_atom_site_fract_x
_atom_site_fract_y
_atom_site_fract_z
Ba1 Ba 0.000 0.000 0.000
Tl1 Tl 0.000 0.500 0.000
Fe1 Fe 0.500 0.500 0.500
N1 N 0.000 0.000 0.500
# E_form (uncorrected): 1.480 eV per atom

***

(11)
# BaUFeN3 PBE-GGA relaxed
data_BaUFeN3
_chemical_formula_sum 'Ba2 U2 Fe2 N6'
_cell_length_a 7.655
_cell_length_b 3.520
_cell_length_c 7.782
_cell_angle_alpha 90.00
_cell_angle_beta 105.45
_cell_angle_gamma 90.00
_symmetry_space_group_name_H-M 'P 1 21/m 1'
_symmetry_Int_Tables_number 11
loop_
_symmetry_equiv_pos_as_xyz
'x,y,z'
'-x,-y,-z'
'-x,y+1/2,-z'
'x,-y+1/2,z'
loop_
_atom_site_label
_atom_site_type_symbol
_atom_site_fract_x
_atom_site_fract_y
_atom_site_fract_z
Ba1 Ba 0.192 0.250 0.228
U1 U 0.333 0.750 0.838
Fe1 Fe 0.069 0.250 0.601
N1 N 0.156 0.250 0.856
N2 N 0.161 0.750 0.552
N3 N 0.467 0.750 0.132
# E_form (uncorrected): -0.838 eV per atom

***

(12)
# BaUFeN4 PBE-GGA relaxed
data_BaUFeN4
_chemical_formula_sum 'Ba2 U2 Fe2 N8'
_cell_length_a 5.662
_cell_length_b 5.472
_cell_length_c 7.455
_cell_angle_alpha 90.00
_cell_angle_beta 107.65
_cell_angle_gamma 90.00
_symmetry_space_group_name_H-M 'P 1 21/m 1'
_symmetry_Int_Tables_number 11
loop_
_symmetry_equiv_pos_as_xyz
'x,y,z'
'-x,-y,-z'
'-x,y+1/2,-z'
'x,-y+1/2,z'
loop_
_atom_site_label
_atom_site_type_symbol
_atom_site_fract_x
_atom_site_fract_y
_atom_site_fract_z
Ba1 Ba 0.209 0.250 0.422
U1 U 0.271 0.250 0.945
Fe1 Fe 0.270 0.750 0.169
N1 N 0.050 0.750 0.947
N2 N 0.052 0.750 0.304
N3 N 0.489 0.508 0.183
# E_form (uncorrected): -0.645 eV per atom

***

(13)
# Ba2ZnFeN PBE-GGA relaxed
data_Ba2ZnFeN
_chemical_formula_sum 'Ba2 Zn1 Fe1 N1'
_cell_length_a 5.849
_cell_length_b 5.849
_cell_length_c 3.624
_cell_angle_alpha 90.00
_cell_angle_beta 90.00
_cell_angle_gamma 90.00
_symmetry_space_group_name_H-M 'P 4/m m m'
_symmetry_Int_Tables_number 123
_symmetry_space_group_name_Hall '-P 4 2'
loop_
_atom_site_label
_atom_site_type_symbol
_atom_site_fract_x
_atom_site_fract_y
_atom_site_fract_z
Ba1 Ba 0.000 0.500 0.000
Zn1 Zn 0.000 0.000 0.500
Fe1 Fe 0.500 0.500 0.500
N1 N 0.500 0.500 0.000
# E_form (uncorrected): -0.202 eV per atom

***

(14)
# Ba3NaFe PBE-GGA relaxed
data_Ba3NaFe
_chemical_formula_sum 'Ba3 Na1 Fe1'
_cell_length_a 6.018
_cell_length_b 6.018
_cell_length_c 6.018
_cell_angle_alpha 90.00
_cell_angle_beta 90.00
_cell_angle_gamma 90.00
_symmetry_space_group_name_H-M 'P m -3 m'
_symmetry_Int_Tables_number 221
_symmetry_space_group_name_Hall '-P 4 2 3'
loop_
_atom_site_label
_atom_site_type_symbol
_atom_site_fract_x
_atom_site_fract_y
_atom_site_fract_z
Ba1 Ba 0.000 0.000 0.500
Na1 Na 0.500 0.500 0.500
Fe1 Fe 0.000 0.000 0.000
# formation enthalpy at 0 K: 0.4129 eV/atom
# energy above the lowest structure with this stoichiometry: 0.000 eV per atom

***

(15)
# BaNaFe3 PBE-GGA relaxed
data_BaNaFe3
_chemical_formula_sum 'Ba1 Na1 Fe3'
_cell_length_a 5.003
_cell_length_b 5.003
_cell_length_c 5.003
_cell_angle_alpha 90.00
_cell_angle_beta 90.00
_cell_angle_gamma 90.00
_symmetry_space_group_name_H-M 'P m -3 m'
_symmetry_Int_Tables_number 221
_symmetry_space_group_name_Hall '-P 4 2 3'
loop_
_atom_site_label
_atom_site_type_symbol
_atom_site_fract_x
_atom_site_fract_y
_atom_site_fract_z
Ba1 Ba 0.000 0.000 0.000
Na1 Na 0.500 0.500 0.500
Fe1 Fe 0.000 0.500 0.500
# formation enthalpy at 0 K: 1.4986 eV/atom
# energy above the lowest structure with this stoichiometry: 0.000 eV per atom

***

(16)
# BaNaFe3 PBE-GGA relaxed
data_BaNaFe3
_chemical_formula_sum 'Ba1 Na1 Fe3'
_cell_length_a 5.384
_cell_length_b 5.384
_cell_length_c 5.384
_cell_angle_alpha 90.00
_cell_angle_beta 90.00
_cell_angle_gamma 90.00
_symmetry_space_group_name_H-M 'P m -3 m'
_symmetry_Int_Tables_number 221
_symmetry_space_group_name_Hall '-P 4 2 3'
loop_
_atom_site_label
_atom_site_type_symbol
_atom_site_fract_x
_atom_site_fract_y
_atom_site_fract_z
Ba1 Ba 0.000 0.000 0.000
Na1 Na 0.500 0.500 0.500
Fe1 Fe 0.000 0.000 0.500
# formation enthalpy at 0 K: 2.0420 eV/atom
# energy above the lowest structure with this stoichiometry: 0.543 eV per atom

***

(17)
# BaNa2Fe PBE-GGA relaxed
data_BaNa2Fe
_chemical_formula_sum 'Ba4 Na8 Fe4'
_cell_length_a 7.775
_cell_length_b 7.775
_cell_length_c 7.775
_cell_angle_alpha 90.00
_cell_angle_beta 90.00
_cell_angle_gamma 90.00
_symmetry_space_group_name_H-M 'F m -3 m'
_symmetry_Int_Tables_number 225
_symmetry_space_group_name_Hall '-F 4 2 3'
loop_
_atom_site_label
_atom_site_type_symbol
_atom_site_fract_x
_atom_site_fract_y
_atom_site_fract_z
Ba1 Ba 0.000 0.000 0.000
Na1 Na 0.250 0.250 0.250
Fe1 Fe 0.000 0.000 0.500
# formation enthalpy at 0 K: 0.9734 eV/atom

***

| no. | theoretical density (g cm⁻³) |
| --- | --- |
| 1 | 7.60 |
| 2 | 6.32 |
| 3 | 2.63 |
| 4 | 4.89 |
| 5 | 4.90 |
| 6 | 4.39 |
| 7 | 3.93 |
| 8 | 5.74 |
| 9 | 6.42 |
| 10 | 5.22 |
| 11 | 7.77 |
| 12 | 7.35 |
| 13 | 5.49 |
| 14 | 3.74 |
| 15 | 4.35 |
| 16 | 3.49 |
| 17 | 3.38 |